Material: PrSm2In2Ni4
Method: DFT, PBE-GGA
State: optimized geometry

POSCAR file:
```
PrSm2In2Ni4
1.0
0.3742 1.4454 5.2708
-3.6873 0.4198 4.0297
1.6756 -8.2288 1.3160
Ni Pr In Sm
4 1 2 2
direct
0.0783 0.0783 0.6238
0.2674 0.2674 0.9151
0.7326 0.7326 0.0849
0.9217 0.9217 0.3762
0.0000 0.0000 0.0000
0.6773 0.6773 0.7770
0.3227 0.3227 0.2230
0.6266 0.6266 0.3829
0.3734 0.3734 0.6171
```

Results
- Symmetry: C2/m (12)
- Electronic total energy: -5.06 eV/atom